# BaMg2VC

Crystalline BaMg2VC at its relaxed geometry (GGA-PBE, Alexandria via LeMat-Bulk).

POSCAR file:
```
BaMg2VC
1.0
4.4758 0.0000 0.0000
0.0000 4.4758 0.0000
0.0000 0.0000 5.7057
Ba Mg V C
1 2 1 1
Direct
0.0000 0.0000 0.0000
0.0000 0.5000 0.5000
0.5000 0.0000 0.5000
0.5000 0.5000 0.0000
0.0000 0.0000 0.5000
```

Computed properties:
ΔH_f (0 K)	1.082	eV/atom

---

# Cu2Pd2F7

Crystalline Cu2Pd2F7 at its relaxed geometry (GGA-PBE, Alexandria via LeMat-Bulk).

POSCAR file:
```
Cu2Pd2F7
1.0
3.1913 -4.6532 0.0000
3.1913 4.6532 0.0000
-0.4785 0.0000 5.9885
Cu Pd F
2 2 7
Direct
0.2295 0.2295 0.1004
0.7705 0.7705 0.8996
0.1793 0.8207 0.5000
0.8207 0.1793 0.5000
0.0702 0.0702 0.7897
0.1102 0.4523 0.3099
0.4523 0.1102 0.3099
0.5000 0.5000 0.0000
0.5477 0.8898 0.6901
0.8898 0.5477 0.6901
0.9298 0.9298 0.2103
```

Computed properties:
energy relative to the elements, uncorrected	-1.146	eV/atom

---

# Np2MoPd9

Crystalline Np2MoPd9 at its relaxed geometry (GGA-PBE, Alexandria via LeMat-Bulk).

POSCAR file:
```
Np2MoPd9
1.0
4.0879 0.0000 0.0000
0.0000 4.0879 0.0000
0.0000 0.0000 12.2317
Np Mo Pd
2 1 9
Direct
0.0000 0.0000 0.1722
0.0000 0.0000 0.8278
0.0000 0.0000 0.5000
0.0000 0.5000 0.0000
0.0000 0.5000 0.3454
0.0000 0.5000 0.6546
0.5000 0.0000 0.0000
0.5000 0.0000 0.3454
0.5000 0.0000 0.6546
0.5000 0.5000 0.1731
0.5000 0.5000 0.5000
0.5000 0.5000 0.8269
```

Computed properties:
ΔH_f (0 K)	-0.257	eV/atom

---

# Li5Sb2Au

Crystalline Li5Sb2Au at its relaxed geometry (GGA-PBE, Alexandria via LeMat-Bulk).

POSCAR file:
```
Li5Sb2Au
1.0
4.7440 0.0000 0.0000
-2.3720 4.1085 0.0000
0.0000 0.0000 17.9456
Li Sb Au
10 4 2
Direct
0.0000 0.0000 0.1385
0.0000 0.0000 0.3615
0.0000 0.0000 0.6385
0.0000 0.0000 0.8615
0.3333 0.6667 0.0549
0.3333 0.6667 0.2500
0.3333 0.6667 0.4451
0.6667 0.3333 0.5549
0.6667 0.3333 0.7500
0.6667 0.3333 0.9451
0.3333 0.6667 0.6040
0.3333 0.6667 0.8960
0.6667 0.3333 0.1040
0.6667 0.3333 0.3960
0.3333 0.6667 0.7500
0.6667 0.3333 0.2500
```

Computed properties:
energy relative to the elements, uncorrected	-0.505	eV/atom

---

# Pm3TlAg

Crystalline Pm3TlAg at its relaxed geometry (GGA-PBE, Alexandria via LeMat-Bulk).

POSCAR file:
```
Pm3TlAg
1.0
7.7369 -3.4637 0.0000
7.7369 3.4637 0.0000
-0.6011 0.0000 11.1529
Pm Tl Ag
12 4 4
Direct
0.1527 0.2244 0.3218
0.1644 0.7299 0.9270
0.2244 0.1527 0.8218
0.2701 0.8356 0.5730
0.3535 0.4082 0.1713
0.4082 0.3535 0.6713
0.5918 0.6465 0.3287
0.6465 0.5918 0.8287
0.7299 0.1644 0.4270
0.7756 0.8473 0.1782
0.8356 0.2701 0.0730
0.8473 0.7756 0.6782
0.1171 0.6161 0.4249
0.3839 0.8829 0.0751
0.6161 0.1171 0.9249
0.8829 0.3839 0.5751
0.0000 0.5000 0.0000
0.1131 0.8869 0.2500
0.5000 0.0000 0.5000
0.8869 0.1131 0.7500
```

Computed properties:
ΔH_f (0 K)	-0.145	eV/atom
energy above the most stable polymorph in this dataset	89	meV per atom

---

# NaNpCdI6

Crystalline NaNpCdI6 at its relaxed geometry (GGA-PBE, Alexandria via LeMat-Bulk).

POSCAR file:
```
NaNpCdI6
1.0
7.8013 0.0000 0.0000
-3.9007 6.7561 0.0000
0.0000 0.0000 14.5198
Na Np Cd I
2 2 2 12
Direct
0.0000 0.0000 0.0000
0.0000 0.0000 0.5000
0.3333 0.6667 0.2500
0.6667 0.3333 0.7500
0.3333 0.6667 0.7500
0.6667 0.3333 0.2500
0.0075 0.3556 0.6292
0.0075 0.6518 0.8708
0.3482 0.3556 0.8708
0.3482 0.9925 0.6292
0.3556 0.0075 0.1292
0.3556 0.3482 0.3708
0.6444 0.6518 0.6292
0.6444 0.9925 0.8708
0.6518 0.0075 0.3708
0.6518 0.6444 0.1292
0.9925 0.3482 0.1292
0.9925 0.6444 0.3708
```

Computed properties:
energy relative to the elements, uncorrected	-0.816	eV/atom

---

# ThRh2

Crystalline ThRh2 at its relaxed geometry (GGA-PBE, Alexandria via LeMat-Bulk).

POSCAR file:
```
ThRh2
1.0
5.4352 0.0000 0.0000
-2.7176 4.7070 0.0000
0.0000 0.0000 8.8807
Th Rh
4 8
Direct
0.3333 0.6667 0.0672
0.3333 0.6667 0.4328
0.6667 0.3333 0.5672
0.6667 0.3333 0.9328
0.0000 0.0000 0.0000
0.0000 0.0000 0.5000
0.1674 0.3349 0.7500
0.1674 0.8326 0.7500
0.3349 0.1674 0.2500
0.6651 0.8326 0.7500
0.8326 0.1674 0.2500
0.8326 0.6651 0.2500
```

Computed properties:
ΔH_f (0 K)	-0.704	eV/atom

---

# Cs5Tb2I12

Crystalline Cs5Tb2I12 at its relaxed geometry (GGA-PBE, Alexandria via LeMat-Bulk).

POSCAR file:
```
Cs5Tb2I12
1.0
10.6731 -4.4303 0.0000
10.6731 4.4303 0.0000
-3.8068 0.0000 12.0443
Cs Tb I
5 2 12
Direct
0.0000 0.0000 0.0000
0.3002 0.3002 0.1455
0.3065 0.3065 0.6534
0.6935 0.6935 0.3466
0.6998 0.6998 0.8545
0.2492 0.7508 0.5000
0.7508 0.2492 0.5000
0.0008 0.0008 0.6705
0.1051 0.6001 0.4267
0.1229 0.5810 0.9232
0.3999 0.8949 0.5733
0.4190 0.8771 0.0768
0.4987 0.4987 0.3274
0.5013 0.5013 0.6726
0.5810 0.1229 0.9232
0.6001 0.1051 0.4267
0.8771 0.4190 0.0768
0.8949 0.3999 0.5733
0.9992 0.9992 0.3295
```

Computed properties:
energy relative to the elements, uncorrected	-1.369	eV/atom

---

# HgTe2PRh

Crystalline HgTe2PRh at its relaxed geometry (GGA-PBE, Alexandria via LeMat-Bulk).

POSCAR file:
```
HgTe2PRh
1.0
5.5289 0.0000 0.0000
0.0000 5.5289 0.0000
0.0000 0.0000 4.3101
Hg Te P Rh
1 2 1 1
Direct
0.0000 0.0000 0.0000
0.0000 0.5000 0.5000
0.5000 0.0000 0.5000
0.5000 0.5000 0.0000
0.5000 0.5000 0.5000
```

Computed properties:
energy relative to the elements, uncorrected	0.242	eV/atom

---

# LiHfGa2O6

Crystalline LiHfGa2O6 at its relaxed geometry (GGA-PBE, Alexandria via LeMat-Bulk).

POSCAR file:
```
LiHfGa2O6
1.0
4.8102 -4.7691 0.0000
4.8102 4.7691 0.0000
-1.1994 0.0000 5.3473
Li Hf Ga O
2 2 4 12
Direct
0.2172 0.7828 0.7500
0.7828 0.2172 0.2500
0.3994 0.6006 0.2500
0.6006 0.3994 0.7500
0.0951 0.2749 0.7853
0.2749 0.0951 0.2853
0.7251 0.9049 0.7147
0.9049 0.7251 0.2147
0.0487 0.1765 0.0800
0.1317 0.6188 0.3598
0.1765 0.0487 0.5800
0.3116 0.4522 0.8854
0.3812 0.8683 0.1402
0.4522 0.3116 0.3854
0.5478 0.6884 0.6146
0.6188 0.1317 0.8598
0.6884 0.5478 0.1146
0.8235 0.9513 0.4200
0.8683 0.3812 0.6402
0.9513 0.8235 0.9200
```

Computed properties:
energy relative to the elements, uncorrected	-2.175	eV/atom

---

# CrPtN2

Crystalline CrPtN2 at its relaxed geometry (GGA-PBE, Alexandria via LeMat-Bulk).

POSCAR file:
```
CrPtN2
1.0
1.3772 0.7951 6.2982
-1.3772 0.7951 6.2982
0.0000 -1.5903 6.2982
Cr Pt N
1 1 2
Direct
0.0000 0.0000 0.0000
0.5000 0.5000 0.5000
0.3941 0.3941 0.3941
0.6059 0.6059 0.6059
```

Computed properties:
energy relative to the elements, uncorrected	-0.045	eV/atom
energy above the most stable polymorph in this dataset	0	meV per atom

---

# YPuSc2As4

Crystalline YPuSc2As4 at its relaxed geometry (GGA-PBE, Alexandria via LeMat-Bulk).

POSCAR file:
```
YPuSc2As4
1.0
6.9115 0.0000 0.0000
0.0000 4.0173 0.0000
-2.3195 0.0000 6.5436
Y Pu Sc As
1 1 2 4
Direct
0.0000 0.0000 0.0000
0.0000 0.5000 0.5000
0.5000 0.0000 0.5000
0.5000 0.5000 0.0000
0.2646 0.0000 0.7538
0.2649 0.5000 0.2561
0.7354 0.0000 0.2462
0.7351 0.5000 0.7439
```

Computed properties:
ΔH_f (0 K)	-1.314	eV/atom